Density functional theory data (PBE-GGA) for a geometry-optimized Mg2SbPd4Pb structure.

a b c (Å): 4.652 4.652 8.124
angles (deg): 73.36 73.36 60.00
Fractional coordinates of all 8 atoms:
1 Sb 0.500 0.500 0.500
2 Pd 0.129 0.129 0.612
3 Pd 0.620 0.620 0.140
4 Pd 0.871 0.871 0.388
5 Pd 0.380 0.380 0.860
6 Pb 0.000 0.000 0.000
7 Mg 0.251 0.251 0.246
8 Mg 0.749 0.749 0.754

Properties
Magnetization = 0.00 μB per cell
Uncorrected formation energy = -0.537 eV/atom
DFT total energy = -36.1 eV per cell
Symmetry = R-3m, No. 166